VASP calculation (PBE with a Hubbard U) on a relaxed Li2Tb2CoO6 crystal.

Computed properties:
Total magnetization ... 1.00 Bohr magnetons per cell
Final energy ... -70.1 eV for the cell shown
Calculated volume ... 122 Å³/cell
DOS at the Fermi energy ... 0.488 states/eV/atom

Geometry as POSCAR:
```
Li2Tb2CoO6
1.0
2.7531 1.5895 4.6431
-2.7531 1.5895 4.6431
0.0000 -3.1790 4.6431
Li Tb Co O
2 2 1 6
direct
0.0761 0.0761 0.0761
0.9239 0.9239 0.9239
0.2873 0.2873 0.2873
0.7127 0.7127 0.7127
0.5000 0.5000 0.5000
0.2632 0.2632 0.7154
0.2632 0.7155 0.2632
0.2846 0.7368 0.7368
0.7154 0.2632 0.2632
0.7368 0.2846 0.7368
0.7368 0.7368 0.2846
```